# LiTb4In5

A relaxed LiTb4In5 crystal (PBE, OQMD).

a b c (Å): 3.5288 3.5288 20.3442
angles (deg): 90.00 90.00 90.00
With the nearest neighbours (Å) after each atom.
Fractional positions:
Li: 0.0000 0.0000 0.0000  8 In 2.95
Tb: 0.0000 0.0000 0.8174  8 In 3.29, 4 Tb 3.53
In: 0.5000 0.5000 0.5000  8 Tb 3.30, 4 In 3.53
Tb: 0.0000 0.0000 0.3939  8 In 3.30, 4 Tb 3.53
Tb: 0.0000 0.0000 0.6061  8 In 3.30, 4 Tb 3.53
In: 0.5000 0.5000 0.0774  4 Li 2.95, 1 In 3.15, 4 Tb 3.29
In: 0.5000 0.5000 0.9226  4 Li 2.95, 1 In 3.15, 4 Tb 3.29
Tb: 0.0000 0.0000 0.1826  8 In 3.29, 4 Tb 3.53
In: 0.5000 0.5000 0.7121  8 Tb 3.29-3.30, 4 In 3.53
In: 0.5000 0.5000 0.2879  8 Tb 3.29-3.30, 4 In 3.53

**Calculated total energy**: -3.856 eV/atom
**Calculated volume**: 25.33 Å³ per atom
**Space group**: P4/mmm